The following is a PBE calculation of K2LiMgBr5 after structural relaxation, from the Alexandria database.

abc: 9.7709 9.7709 14.0097
angles: 90.00 90.00 155.33
Atoms (fractional coordinates):
K1 0.1015 0.8985 0.5000
K2 0.1298 0.8702 0.1384
K3 0.8702 0.1298 0.6384
K4 0.8985 0.1015 0.0000
Li1 0.4308 0.5692 0.2709
Li2 0.5692 0.4308 0.7709
Mg1 0.2134 0.7866 0.8537
Mg2 0.7866 0.2134 0.3537
Br1 0.0726 0.9274 0.8734
Br2 0.2783 0.7217 0.4854
Br3 0.3007 0.6993 0.2226
Br4 0.3500 0.6500 0.8294
Br5 0.4967 0.5033 0.1189
Br6 0.5033 0.4967 0.6189
Br7 0.6500 0.3500 0.3294
Br8 0.6993 0.3007 0.7226
Br9 0.7217 0.2783 0.9854
Br10 0.9274 0.0726 0.3734

Size of the total moment, μB per formula unit: 0.00
Space-group type: Cmc2_1 (36)
Raw formation energy, meV/atom: -1604.5
Raw total energy, eV/cell: -57.0
Volume, Å³/cell: 558

***

The following is a PBE calculation of KLiMgBr4 after structural relaxation, from the Alexandria database.

abc: 6.6979 8.1593 8.8819
angles: 90.00 101.93 90.00
Atoms (fractional coordinates):
K1 0.2070 0.2500 0.0865
K2 0.7930 0.7500 0.9135
Li1 0.2873 0.2500 0.6767
Li2 0.7127 0.7500 0.3233
Mg1 0.2154 0.7500 0.3176
Mg2 0.7846 0.2500 0.6824
Br1 0.0427 0.0211 0.7333
Br2 0.0427 0.4789 0.7333
Br3 0.4014 0.7500 0.0972
Br4 0.4862 0.2500 0.4591
Br5 0.5138 0.7500 0.5409
Br6 0.5986 0.2500 0.9028
Br7 0.9573 0.5211 0.2667
Br8 0.9573 0.9789 0.2667

Size of the total moment, μB per formula unit: 0.00
Space-group type: P2_1/m (11)
Raw formation energy, meV/atom: -1534.4
Raw total energy, eV/cell: -44.1
Volume, Å³/cell: 475

***

The following is a PBE calculation of K2LiMnBr5 after structural relaxation, from the Alexandria database.

abc: 10.1195 10.1195 13.6066
angles: 90.00 90.00 155.72
Atoms (fractional coordinates):
K1 0.1269 0.8731 0.5000
K2 0.1359 0.8641 0.1373
K3 0.8641 0.1359 0.6373
K4 0.8731 0.1269 0.0000
Li1 0.2233 0.7767 0.8633
Li2 0.7767 0.2233 0.3633
Mn1 0.4352 0.5648 0.2508
Mn2 0.5648 0.4352 0.7508
Br1 0.0406 0.9594 0.8488
Br2 0.2979 0.7021 0.4714
Br3 0.3166 0.6834 0.1909
Br4 0.3473 0.6527 0.8215
Br5 0.5004 0.4996 0.0950
Br6 0.4996 0.5004 0.5950
Br7 0.6527 0.3473 0.3215
Br8 0.6834 0.3166 0.6909
Br9 0.7021 0.2979 0.9714
Br10 0.9594 0.0406 0.3488

Size of the total moment, μB per formula unit: 5.00
Space-group type: Cmc2_1 (36)
Raw formation energy, meV/atom: -1365.9
Raw total energy, eV/cell: -67.9
Volume, Å³/cell: 573

***

The following is a PBE calculation of KLiMnBr4 after structural relaxation, from the Alexandria database.

abc: 6.5546 8.9753 8.6900
angles: 90.00 102.12 90.00
Atoms (fractional coordinates):
K1 0.1729 0.2500 0.1023
K2 0.8271 0.7500 0.8977
Li1 0.2855 0.2500 0.6908
Li2 0.7145 0.7500 0.3092
Mn1 0.2232 0.7500 0.3014
Mn2 0.7768 0.2500 0.6986
Br1 0.0373 0.0410 0.7421
Br2 0.0373 0.4590 0.7421
Br3 0.4026 0.7500 0.0714
Br4 0.4804 0.2500 0.4686
Br5 0.5196 0.7500 0.5314
Br6 0.5974 0.2500 0.9286
Br7 0.9627 0.5410 0.2579
Br8 0.9627 0.9590 0.2579

Size of the total moment, μB per formula unit: 5.00
Space-group type: P2_1/m (11)
Raw formation energy, meV/atom: -1258.3
Raw total energy, eV/cell: -55.4
Volume, Å³/cell: 500

***

The following is a PBE calculation of KLiMn2Br6 after structural relaxation, from the Alexandria database.

abc: 7.5236 7.5236 7.5236
angles: 57.63 57.63 57.63
Atoms (fractional coordinates):
K1 0.0000 0.0000 0.0000
Li1 0.4570 0.4570 0.4570
Mn1 0.2672 0.2672 0.2672
Mn2 0.7802 0.7802 0.7802
Br1 0.0441 0.6032 0.4544
Br2 0.1552 0.5298 0.9026
Br3 0.4544 0.0441 0.6032
Br4 0.5298 0.9026 0.1552
Br5 0.6032 0.4544 0.0441
Br6 0.9026 0.1552 0.5298

Size of the total moment, μB per formula unit: 10.00
Space-group type: R3 (146)
Raw formation energy, meV/atom: -1062.3
Raw total energy, eV/cell: -42.0
Volume, Å³/cell: 285

***

The following is a PBE calculation of KLi2MnBr6 after structural relaxation, from the Alexandria database.

abc: 6.6252 6.6695 8.5430
angles: 72.06 67.66 64.25
Atoms (fractional coordinates):
K1 0.0000 0.0000 0.0000
Li1 0.1419 0.1788 0.4812
Li2 0.8581 0.8212 0.5188
Mn1 0.5000 0.5000 0.5000
Br1 0.1292 0.4454 0.6896
Br2 0.2438 0.8786 0.3021
Br3 0.4550 0.7463 0.6845
Br4 0.5450 0.2537 0.3155
Br5 0.7562 0.1214 0.6979
Br6 0.8708 0.5546 0.3104

Size of the total moment, μB per formula unit: 4.00
Space-group type: P-1 (2)
Raw formation energy, meV/atom: -1218.5
Raw total energy, eV/cell: -36.3
Volume, Å³/cell: 310

***

The following is a PBE calculation of K2LiMnBr6 after structural relaxation, from the Alexandria database.

abc: 7.2205 7.7845 12.8072
angles: 90.00 123.74 90.00
Atoms (fractional coordinates):
K1 0.2287 0.0755 0.2571
K2 0.2287 0.4245 0.7571
K3 0.7713 0.5755 0.2429
K4 0.7713 0.9245 0.7429
Li1 0.0000 0.0000 0.5000
Li2 0.0000 0.5000 0.0000
Mn1 0.5000 0.0000 0.0000
Mn2 0.5000 0.5000 0.5000
Br1 0.1838 0.1754 0.9642
Br2 0.1838 0.3246 0.4642
Br3 0.2556 0.6917 0.9717
Br4 0.2556 0.8083 0.4717
Br5 0.3394 0.5068 0.2721
Br6 0.3394 0.9932 0.7721
Br7 0.6606 0.0068 0.2279
Br8 0.6606 0.4932 0.7279
Br9 0.7444 0.1917 0.5283
Br10 0.7444 0.3083 0.0283
Br11 0.8162 0.6754 0.5358
Br12 0.8162 0.8246 0.0358

Size of the total moment, μB per formula unit: 4.00
Space-group type: P2_1/c (14)
Raw formation energy, meV/atom: -1254.7
Raw total energy, eV/cell: -71.7
Volume, Å³/cell: 599

***

The following is a PBE calculation of KLiMn2Br8 after structural relaxation, from the Alexandria database.

abc: 6.9167 6.9167 9.4124
angles: 90.00 90.00 120.00
Atoms (fractional coordinates):
K1 0.0000 0.0000 0.0000
Li1 0.0000 0.0000 0.5000
Mn1 0.3333 0.6667 0.7447
Mn2 0.6667 0.3333 0.2553
Br1 0.0109 0.3226 0.6782
Br2 0.3118 0.9891 0.6782
Br3 0.3226 0.3118 0.3218
Br4 0.3333 0.6667 0.9956
Br5 0.6667 0.3333 0.0044
Br6 0.6774 0.6882 0.6782
Br7 0.6882 0.0109 0.3218
Br8 0.9891 0.6774 0.3218

Size of the total moment, μB per formula unit: 8.00
Space-group type: P-3 (147)
Raw formation energy, meV/atom: -905.3
Raw total energy, eV/cell: -45.6
Volume, Å³/cell: 390